DFT (PBE) results for CoP2Ru after structural relaxation.

Structure (extended XYZ):
```
4
Lattice="3.643 -1.573 0.000 3.643 1.573 0.000 -1.142 0.000 4.637" Properties=species:S:1:pos:R:3 pbc="T T T"
Co 0.000 0.000 0.000
P 2.118 0.000 0.372
P 3.049 0.000 3.058
Ru 5.207 0.000 2.030
```

Properties
The value obtained for the calculated formation energy is -0.3485 eV per atom. Its energy above the lowest structure with this stoichiometry is 0 meV/atom.

=====

DFT (PBE) results for CoP2Ru after structural relaxation.

Structure (extended XYZ):
```
4
Lattice="2.943 0.000 0.000 0.000 4.316 0.000 0.000 0.000 3.903" Properties=species:S:1:pos:R:3 pbc="T T T"
Co 0.000 0.000 0.000
P 0.000 2.158 3.122
P 1.472 0.000 2.170
Ru 1.472 2.158 1.203
```

Properties
The value obtained for the calculated formation energy is -0.3395 eV per atom. Its energy above the lowest structure with this stoichiometry is 9 meV/atom.

=====

DFT (PBE) results for CoP2Ru after structural relaxation.

Structure (extended XYZ):
```
4
Lattice="1.468 0.848 7.062 -1.468 0.848 7.062 0.000 -1.695 7.062" Properties=species:S:1:pos:R:3 pbc="T T T"
Co 0.000 0.000 0.000
P 0.000 0.000 10.343
P 0.000 0.000 15.495
Ru 0.000 0.000 4.844
```

Properties
The value obtained for the calculated formation energy is -0.0754 eV per atom. Its energy above the lowest structure with this stoichiometry is 273 meV/atom.